No. 1
Density functional theory data (GGA-PBE) for a geometry-optimized Er5Ge10Rh4 structure.

The calculation puts the formation energy at -0.80 eV/atom. Its raw total energy is -227.14 eV per cell. The total magnetization is 0.00 Bohr magnetons per cell. The crystal system is tetragonal.

It has space group P4/mbm (No. 127), with a = 13.006 Å, b = 13.006 Å, c = 4.282 Å, α = 90.00°, β = 90.00° and γ = 90.00°. The asymmetric unit holds Er at (0.000, 0.000, 0.000), Er at (0.113, 0.387, 0.500), Er at (0.175, 0.675, 0.500), Ge at (0.003, 0.843, 0.500), Ge at (0.067, 0.567, 0.000), Ge at (0.162, 0.200, 0.000) and Rh at (0.021, 0.754, 0.000).

=====

No. 2
Density functional theory data (GGA-PBE) for a geometry-optimized LiSi2Ni structure.

As for the energy relative to the elements, uncorrected: -0.7 eV per formula unit. The energy above the most stable polymorph in this dataset comes out at 180 meV per atom. Its raw total energy is -38.49 eV per cell. The total magnetization is 0.00 Bohr magnetons per cell. The crystal system is orthorhombic.

It has space group Cmmm (No. 65), with a = 5.017 Å, b = 7.436 Å, c = 2.580 Å, α = 90.00°, β = 90.00° and γ = 90.00°. The asymmetric unit holds Li at (0.000, 0.000, 0.000), Si at (0.250, 0.250, 0.500) and Ni at (0.000, 0.500, 0.000).

=====

No. 3
Density functional theory data (GGA-PBE) for a geometry-optimized Ba2TiS3O structure.

As for the energy relative to the elements, uncorrected: -14.4 eV per formula unit. Its raw total energy is -87.03 eV per cell. The total magnetization is 0.00 Bohr magnetons per cell. The crystal system is orthorhombic.

It has space group Immm (No. 71), with a = 4.018 Å, b = 4.950 Å, c = 16.210 Å, α = 90.00°, β = 90.00° and γ = 90.00°. The asymmetric unit holds Ba at (0.000, 0.000, 0.145), Ti at (0.000, 0.000, 0.500), S at (0.000, 0.000, 0.344), S at (0.000, 0.500, 0.500) and O at (0.000, 0.500, 0.000).